# PBE CaCrP2N6, optimized geometry
data_CaCrP2N6
_chemical_formula_sum 'Ca4 Cr4 P8 N24'
_symmetry_space_group_name_H-M 'C 1 2/c 1'
_symmetry_Int_Tables_number 15
_symmetry_space_group_name_Hall '-C 2yc'
_cell_length_a 10.0626
_cell_length_b 10.1266
_cell_length_c 5.5103
_cell_angle_alpha 90.00
_cell_angle_beta 114.17
_cell_angle_gamma 90.00
loop_
_atom_site_label
_atom_site_fract_x
_atom_site_fract_y
_atom_site_fract_z
Ca1 0.0000 0.1174 0.2500
Cr1 0.0000 0.2138 0.7500
P1 0.1963 0.4293 0.1650
N1 0.0936 0.2956 0.0431
N2 0.1266 0.1057 0.7088
N3 0.1679 0.4691 0.4238
# formation energy without anion corrections = -4.4 eV/f.u.
# magnetic moment = 0.00 μB/f.u.



# PBE Ca2CrPN5, optimized geometry
data_Ca2CrPN5
_chemical_formula_sum 'Ca8 Cr4 P4 N20'
_symmetry_space_group_name_H-M 'C m c 21'
_symmetry_Int_Tables_number 36
_symmetry_space_group_name_Hall 'C 2c -2'
_cell_length_a 2.9602
_cell_length_b 13.5426
_cell_length_c 10.6397
_cell_angle_alpha 90.00
_cell_angle_beta 90.00
_cell_angle_gamma 90.00
loop_
_atom_site_label
_atom_site_fract_x
_atom_site_fract_y
_atom_site_fract_z
Ca1 0.0000 0.0913 0.0000
Ca2 0.0000 0.1374 0.6488
Cr1 0.0000 0.2262 0.3764
P1 0.0000 0.4357 0.7621
N1 0.0000 0.0487 0.3491
N2 0.0000 0.2832 0.9832
N3 0.0000 0.3134 0.7430
N4 0.0000 0.3439 0.3352
N5 0.0000 0.4956 0.6333
# formation energy without anion corrections = -5.6 eV/f.u.
# magnetic moment = 0.00 μB/f.u.



# PBE Ca3Pa2CrN6, optimized geometry
data_Ca3Pa2CrN6
_chemical_formula_sum 'Ca6 Pa4 Cr2 N12'
_symmetry_space_group_name_H-M 'C 1 2/m 1'
_symmetry_Int_Tables_number 12
_symmetry_space_group_name_Hall '-C 2y'
_cell_length_a 14.8402
_cell_length_b 3.4924
_cell_length_c 6.8457
_cell_angle_alpha 90.00
_cell_angle_beta 104.96
_cell_angle_gamma 90.00
loop_
_atom_site_label
_atom_site_fract_x
_atom_site_fract_y
_atom_site_fract_z
Ca1 0.0000 0.0000 0.0000
Ca2 0.1602 0.5000 0.3329
Pa1 0.1594 0.5000 0.8139
Cr1 0.0000 0.0000 0.5000
N1 0.0054 0.5000 0.7234
N2 0.1532 0.0000 0.5903
N3 0.1746 0.0000 0.0589
# formation energy without anion corrections = -14.6 eV/f.u.
# magnetic moment = 2.03 μB/f.u.



# PBE CaPaCrN4, optimized geometry
data_CaPaCrN4
_chemical_formula_sum 'Ca2 Pa2 Cr2 N8'
_symmetry_space_group_name_H-M 'P 1 21/m 1'
_symmetry_Int_Tables_number 11
_symmetry_space_group_name_Hall '-P 2yb'
_cell_length_a 5.7697
_cell_length_b 5.4382
_cell_length_c 6.7660
_cell_angle_alpha 90.00
_cell_angle_beta 106.07
_cell_angle_gamma 90.00
loop_
_atom_site_label
_atom_site_fract_x
_atom_site_fract_y
_atom_site_fract_z
Ca1 0.1974 0.2500 0.4161
Pa1 0.2762 0.2500 0.9414
Cr1 0.2620 0.7500 0.1911
N1 0.0523 0.7500 0.3389
N2 0.0678 0.7500 0.9418
N3 0.4686 0.5038 0.2113
# formation energy without anion corrections = -7.0 eV/f.u.
# magnetic moment = 0.95 μB/f.u.



What did the fourth record say?
# PBE CaPaCrN4, optimized geometry
data_CaPaCrN4
_chemical_formula_sum 'Ca2 Pa2 Cr2 N8'
_symmetry_space_group_name_H-M 'P 1 21/m 1'
_symmetry_Int_Tables_number 11
_symmetry_space_group_name_Hall '-P 2yb'
_cell_length_a 5.7697
_cell_length_b 5.4382
_cell_length_c 6.7660
_cell_angle_alpha 90.00
_cell_angle_beta 106.07
_cell_angle_gamma 90.00
loop_
_atom_site_label
_atom_site_fract_x
_atom_site_fract_y
_atom_site_fract_z
Ca1 0.1974 0.2500 0.4161
Pa1 0.2762 0.2500 0.9414
Cr1 0.2620 0.7500 0.1911
N1 0.0523 0.7500 0.3389
N2 0.0678 0.7500 0.9418
N3 0.4686 0.5038 0.2113
# formation energy without anion corrections = -7.0 eV/f.u.
# magnetic moment = 0.95 μB/f.u.